MgPb5 at its PBEsol-relaxed geometry, computed with SCAN.

Unit cell a=5.613 b=3.455 c=17.690 alpha=90.00 beta=90.00 gamma=90.00
Space group Amm2 (No. 38)
Asymmetric unit:
Mg 0.000 0.000 0.000 x2
Pb 0.000 0.000 0.339 x2
Pb 0.000 0.000 0.661 x2
Pb 0.500 0.000 0.112 x2
Pb 0.500 0.000 0.450 x2
Pb 0.500 0.000 0.779 x2

Calculated values
energy above the lowest structure with this stoichiometry: 45.2 meV/atom
formation energy: -0.007 eV/atom
Fermi-level density of states: 3.0 states/eV/f.u.
spin magnetization: 0.00 μB/atom

Mg3Pb at its PBEsol-relaxed geometry, computed with SCAN.

Unit cell a=6.423 b=8.859 c=3.332 alpha=90.00 beta=90.00 gamma=90.00
Space group Cmmm (No. 65)
Asymmetric unit:
Mg 0.000 0.000 0.000 x2
Mg 0.250 0.250 0.500 x4
Pb 0.000 0.500 0.000 x2

Calculated values
formation energy: -0.106 eV/atom
Fermi-level density of states: 1.5 states/eV/f.u.
spin magnetization: 0.00 μB/atom

Mg4Pb5 at its PBEsol-relaxed geometry, computed with SCAN.

Unit cell a=10.053 b=10.053 c=4.717 alpha=90.00 beta=90.00 gamma=90.00
Space group I4/mmm (No. 139)
Asymmetric unit:
Mg 0.000 0.339 0.000 x8
Pb 0.000 0.000 0.000 x2
Pb 0.170 0.170 0.500 x8

Calculated values
energy above the lowest structure with this stoichiometry: 45.4 meV/atom
formation energy: -0.045 eV/atom
Fermi-level density of states: 4.1 states/eV/f.u.
spin magnetization: 0.00 μB/atom

MgPb5 at its PBEsol-relaxed geometry, computed with SCAN.

Unit cell a=3.457 b=3.457 c=14.300 alpha=90.00 beta=90.00 gamma=90.00
Space group P4/mmm (No. 123)
Asymmetric unit:
Mg 0.000 0.000 0.000 x1
Pb 0.000 0.000 0.326 x2
Pb 0.500 0.500 0.148 x2
Pb 0.500 0.500 0.500 x1

Calculated values
energy above the lowest structure with this stoichiometry: 0.0 meV/atom
formation energy: -0.052 eV/atom
Fermi-level density of states: 2.3 states/eV/f.u.
spin magnetization: 0.00 μB/atom

Mg2Pb at its PBEsol-relaxed geometry, computed with SCAN.

Unit cell a=5.0780 b=5.0780 c=3.3373 alpha=90.00 beta=90.00 gamma=120.00
Space group P-3m1 (No. 164)
Asymmetric unit:
Mg 0.3333 0.6667 0.2159 x2
Pb 0.0000 0.0000 0.5000 x1

Calculated values
formation energy: -0.102 eV/atom
Fermi-level density of states: 1.3 states/eV/f.u.
spin magnetization: 0.00 μB/atom

Mg2Pb at its PBEsol-relaxed geometry, computed with SCAN.

Unit cell a=8.505 b=5.328 c=3.376 alpha=90.00 beta=102.16 gamma=90.00
Space group C2/m (No. 12)
Asymmetric unit:
Mg 0.174 0.000 0.276 x4
Pb 0.000 0.500 0.000 x2

Calculated values
formation energy: -0.111 eV/atom
Fermi-level density of states: 1.0 states/eV/f.u.
spin magnetization: 0.00 μB/atom

Mg17Pb12 at its PBEsol-relaxed geometry, computed with SCAN.

Unit cell a=11.464 b=11.464 c=11.464 alpha=90.00 beta=90.00 gamma=90.00
Space group I-43m (No. 217)
Asymmetric unit:
Mg 0.000 0.000 0.000 x2
Mg 0.053 0.361 0.361 x24
Mg 0.170 0.170 0.830 x8
Pb 0.098 0.098 0.298 x24

Calculated values
formation energy: -0.059 eV/atom
Fermi-level density of states: 11.5 states/eV/f.u.
spin magnetization: 0.00 μB/atom

Mg2Pb at its PBEsol-relaxed geometry, computed with SCAN.

Unit cell a=7.641 b=4.449 c=8.701 alpha=90.00 beta=90.00 gamma=90.00
Space group Pnma (No. 62)
Asymmetric unit:
Mg 0.043 0.250 0.168 x4
Mg 0.131 0.250 0.554 x4
Pb 0.245 0.250 0.865 x4

Calculated values
formation energy: -0.204 eV/atom
Fermi-level density of states: 0.8 states/eV/f.u.
spin magnetization: 0.00 μB/atom